# LaLuAg

An optimized crystal structure of LaLuAg (GGA-PBE, OQMD via LeMat-Bulk).

Its formation energy is 0.1 eV per formula unit. As for the space group: F-43m (216).

Unit cell a=5.084 b=5.084 c=5.084 alpha=60.00 beta=60.00 gamma=60.00
Fractional positions:
1 Ag 0.000 0.000 0.000
2 Lu 0.750 0.750 0.750
3 La 0.250 0.250 0.250